Hf2CuN after structural relaxation, computed with GGA-PBE.

- Uncorrected energy: -212.2 eV per cell
- Symmetry: C2/c, No. 15

Cell: 5.5197 5.5197 13.9420 Å, 101.91 101.91 59.82°
With the nearest neighbours (Å) after each atom.
Sites, in units of the cell vectors:
Hf: 0.0363 0.8743 0.6066  3 N 2.29-2.36
Hf: 0.1257 0.9637 0.8934  3 N 2.29-2.36
Hf: 0.1971 0.3607 0.0894  3 N 2.19-2.26
Hf: 0.3001 0.4719 0.4107  3 N 2.20-2.24
Hf: 0.3607 0.1971 0.5894  3 N 2.19-2.26
Hf: 0.4719 0.3001 0.9107  3 N 2.20-2.24
Hf: 0.5281 0.6999 0.0893  3 N 2.20-2.24
Hf: 0.6393 0.8029 0.4106  3 N 2.19-2.26
Hf: 0.6999 0.5281 0.5893  3 N 2.20-2.24
Hf: 0.8029 0.6393 0.9106  3 N 2.19-2.26
Hf: 0.8743 0.0363 0.1066  3 N 2.29-2.36
Hf: 0.9637 0.1257 0.3934  3 N 2.29-2.36
Cu: 0.0836 0.3288 0.7494  6 Hf 2.72-3.02, 4 Cu 2.80-2.91
Cu: 0.3288 0.0836 0.2494  6 Hf 2.72-3.02, 4 Cu 2.80-2.91
Cu: 0.4833 0.5167 0.2500  4 Hf 2.71-2.74, 4 Cu 2.80-2.91
Cu: 0.5167 0.4833 0.7500  4 Hf 2.71-2.74, 4 Cu 2.80-2.91
Cu: 0.6712 0.9164 0.7506  6 Hf 2.72-3.02, 4 Cu 2.80-2.91
Cu: 0.9164 0.6712 0.2506  6 Hf 2.72-3.02, 4 Cu 2.80-2.91
N: 0.0000 0.5000 0.5000  6 Hf 2.19-2.36
N: 0.1614 0.6767 0.0000  6 Hf 2.19-2.30
N: 0.3233 0.8386 0.5000  6 Hf 2.19-2.30
N: 0.5000 0.0000 0.0000  6 Hf 2.19-2.36
N: 0.6767 0.1614 0.5000  6 Hf 2.19-2.30
N: 0.8386 0.3233 0.0000  6 Hf 2.19-2.30